A plane-wave DFT calculation with GGA-PBE was carried out for an optimized crystal structure of La11Tl9Ru4.

Cell: 3.9304 13.6288 13.6288 Å, 112.08 90.00 90.00°
With the nearest neighbours (Å) after each atom.
Fractional coordinates of all 24 atoms:
La 0.0000 0.5789 0.9112  2 Ru 2.81
La 0.0000 0.4211 0.0888  2 Ru 2.81
La 0.0000 0.9112 0.5789  2 Ru 2.81
La 0.0000 0.0888 0.4211  2 Ru 2.81
La 0.0000 0.6256 0.3744  4 Ru 3.09, 2 Tl 3.45
La 0.0000 0.3744 0.6256  4 Ru 3.09, 2 Tl 3.45
La 0.0000 0.8392 0.1608  8 Tl 3.38-3.61, 1 La 3.64
La 0.0000 0.1608 0.8392  8 Tl 3.38-3.61, 1 La 3.64
La 0.0000 0.0000 0.0000  8 Tl 3.39, 2 La 3.64
La 0.0000 0.6856 0.6856  4 Ru 3.09, 2 Tl 3.44
La 0.0000 0.3144 0.3144  4 Ru 3.09, 2 Tl 3.44
Tl 0.5000 0.6355 0.1566  1 Tl 3.16, 1 Ru 3.17, 4 La 3.35-3.38
Tl 0.5000 0.3645 0.8434  1 Tl 3.16, 1 Ru 3.17, 4 La 3.35-3.38
Tl 0.5000 0.1566 0.6355  1 Tl 3.16, 1 Ru 3.17, 4 La 3.35-3.38
Tl 0.5000 0.8434 0.3645  1 Tl 3.16, 1 Ru 3.17, 4 La 3.35-3.38
Tl 0.5000 0.7815 0.9234  1 Ru 3.13, 1 Tl 3.21, 4 La 3.34-3.39
Tl 0.5000 0.2185 0.0766  1 Ru 3.13, 1 Tl 3.21, 4 La 3.34-3.39
Tl 0.5000 0.9234 0.7815  1 Ru 3.13, 1 Tl 3.21, 4 La 3.34-3.39
Tl 0.5000 0.0766 0.2185  1 Ru 3.13, 1 Tl 3.21, 4 La 3.34-3.39
Tl 0.5000 0.5000 0.5000  4 Ru 3.29, 8 La 3.44-3.45
Ru 0.5000 0.5496 0.7557  6 La 2.81-3.09, 1 Tl 3.13
Ru 0.5000 0.4504 0.2443  6 La 2.81-3.09, 1 Tl 3.13
Ru 0.5000 0.7557 0.5496  6 La 2.81-3.09, 1 Tl 3.13
Ru 0.5000 0.2443 0.4504  6 La 2.81-3.09, 1 Tl 3.13

Computed properties:
Energy relative to the elements = -0.391 eV per atom
Fermi-level density of states = 20.78 states/eV/cell
Space group = Cmmm
V = 28.2 Å³ per atom
E = -121.99 eV per formula unit